A relaxed structure of TlTe2Br. Source: Alexandria via LeMat-Bulk, functional PBE.

Cell lengths 4.1827, 4.1827, 9.2776 Å; angles 73.68, 73.68, 89.44 degrees
Atoms (fractional coordinates):
Tl (0.6015, 0.6015, 0.4434)
Te (0.0515, 0.0515, 0.9284)
Te (0.6567, 0.6567, 0.8266)
Br (0.1903, 0.1903, 0.3016)

- uncorrected formation energy (eV per atom) = -0.32
- E (eV per cell) = -11.61
- space-group type = Cm, No. 8
- total magnetization (μB per formula unit) = 0.0